No. 1
{"formula": "KPPb2", "functional": "PBEsol", "state": "optimized geometry", "n_ef_per_ev_cell": 2.20, "spacegroup": "No. 65", "e_tot_ev_per_cell": -15.0, "crystal_system": "orthorhombic", "cell": [[3.0894, -5.2393, 0.0000], [3.0894, 5.2393, 0.0000], [0.0000, 0.0000, 3.8072]], "species": ["K", "P", "Pb", "Pb"], "frac_coords": [[0.0000, 0.0000, 0.0000], [0.5000, 0.5000, 0.0000], [0.3115, 0.6885, 0.5000], [0.6885, 0.3115, 0.5000]]}


No. 2
{"formula": "KPPb2", "functional": "PBEsol", "state": "optimized geometry", "n_ef_per_ev_cell": 1.30, "spacegroup": "No. 123", "e_tot_ev_per_cell": -14.6, "crystal_system": "tetragonal", "cell": [[4.6916, 0.0000, 0.0000], [0.0000, 4.6916, 0.0000], [0.0000, 0.0000, 4.7411]], "species": ["K", "P", "Pb", "Pb"], "frac_coords": [[0.0000, 0.0000, 0.0000], [0.5000, 0.5000, 0.0000], [0.0000, 0.5000, 0.5000], [0.5000, 0.0000, 0.5000]]}


No. 3
{"formula": "KPPtPb2", "functional": "PBEsol", "state": "optimized geometry", "n_ef_per_ev_cell": 2.52, "spacegroup": "No. 123", "e_tot_ev_per_cell": -21.5, "crystal_system": "tetragonal", "cell": [[5.7941, 0.0000, 0.0000], [0.0000, 5.7941, 0.0000], [0.0000, 0.0000, 4.3978]], "species": ["K", "P", "Pt", "Pb", "Pb"], "frac_coords": [[0.0000, 0.0000, 0.0000], [0.5000, 0.5000, 0.0000], [0.5000, 0.5000, 0.5000], [0.0000, 0.5000, 0.5000], [0.5000, 0.0000, 0.5000]]}


No. 4
{"formula": "KRePPb2", "functional": "PBEsol", "state": "optimized geometry", "n_ef_per_ev_cell": 4.00, "spacegroup": "No. 123", "e_tot_ev_per_cell": -20.5, "crystal_system": "tetragonal", "cell": [[5.3125, 0.0000, 0.0000], [0.0000, 5.3125, 0.0000], [0.0000, 0.0000, 5.5125]], "species": ["K", "Re", "P", "Pb", "Pb"], "frac_coords": [[0.0000, 0.0000, 0.0000], [0.5000, 0.5000, 0.0000], [0.0000, 0.0000, 0.5000], [0.0000, 0.5000, 0.5000], [0.5000, 0.0000, 0.5000]]}


No. 5
{"formula": "KPPbS4", "functional": "PBEsol", "state": "optimized geometry", "n_ef_per_ev_cell": 0.00, "spacegroup": "No. 62", "e_tot_ev_per_cell": -133.0, "raw_formation_energy_mev_per_atom": -685.4, "crystal_system": "orthorhombic", "cell": [[16.5879, 0.0000, 0.0000], [0.0000, 6.4982, 0.0000], [0.0000, 0.0000, 6.5232]], "species": ["K", "K", "K", "K", "P", "P", "P", "P", "Pb", "Pb", "Pb", "Pb", "S", "S", "S", "S", "S", "S", "S", "S", "S", "S", "S", "S", "S", "S", "S", "S"], "frac_coords": [[0.2124, 0.2500, 0.0266], [0.2876, 0.7500, 0.5266], [0.7124, 0.2500, 0.4734], [0.7876, 0.7500, 0.9734], [0.0965, 0.7500, 0.2226], [0.4035, 0.2500, 0.7226], [0.5965, 0.7500, 0.2774], [0.9035, 0.2500, 0.7774], [0.0230, 0.7500, 0.7190], [0.4770, 0.2500, 0.2190], [0.5230, 0.7500, 0.7810], [0.9770, 0.2500, 0.2810], [0.0242, 0.2500, 0.8505], [0.1210, 0.0008, 0.4011], [0.1210, 0.4992, 0.4011], [0.1686, 0.7500, 0.9699], [0.3314, 0.2500, 0.4699], [0.3790, 0.5008, 0.9011], [0.3790, 0.9992, 0.9011], [0.4758, 0.7500, 0.3505], [0.5242, 0.2500, 0.6495], [0.6210, 0.0008, 0.0989], [0.6210, 0.4992, 0.0989], [0.6686, 0.7500, 0.5301], [0.8314, 0.2500, 0.0301], [0.8790, 0.5008, 0.5989], [0.8790, 0.9992, 0.5989], [0.9758, 0.7500, 0.1495]]}


No. 6
{"formula": "K2P2Pd", "functional": "PBEsol", "state": "optimized geometry", "spacegroup": "No. 63", "e_tot_ev_per_cell": -44.8, "crystal_system": "orthorhombic", "cell": [[3.1211, -7.0271, 0.0000], [3.1211, 7.0271, 0.0000], [0.0000, 0.0000, 5.8195]], "species": ["K", "K", "K", "K", "P", "P", "P", "P", "Pd", "Pd"], "frac_coords": [[0.0771, 0.9229, 0.7500], [0.2892, 0.7108, 0.2500], [0.7108, 0.2892, 0.7500], [0.9229, 0.0771, 0.2500], [0.2148, 0.4371, 0.7500], [0.4371, 0.2148, 0.2500], [0.5629, 0.7852, 0.7500], [0.7852, 0.5629, 0.2500], [0.5000, 0.5000, 0.0000], [0.5000, 0.5000, 0.5000]]}


Which formula does entry 1 have?
KPPb2